[1]
! ZrTcPb2 (GGA-PBE, optimized geometry); values from VASP
&SYSTEM
  ibrav = 0, nat = 4, ntyp = 3
/
ATOMIC_SPECIES
Zr 91.22 Zr.upf
Tc 98.00 Tc.upf
Pb 207.20 Pb.upf
CELL_PARAMETERS angstrom
1.8335 -2.6245 0.0000
1.8335 2.6245 0.0000
0.0000 0.0000 10.1898
ATOMIC_POSITIONS angstrom
Zr 0.0000 0.0000 0.0000
Tc 1.8335 0.0000 1.8734
Pb 0.0000 0.0000 4.1039
Pb 1.8335 0.0000 7.4782
! Volume   24.518 A^3/atom
! Formation enthalpy at 0 K   189 meV/atom
! Energy above the most stable polymorph in this dataset   0.132 eV per atom
! DOS(E_F)   2.5 states/eV per cell
! SG   Cmm2

[2]
! Mg2ZnW (GGA-PBE, optimized geometry); values from VASP
&SYSTEM
  ibrav = 0, nat = 4, ntyp = 3
/
ATOMIC_SPECIES
Mg 24.30 Mg.upf
Zn 65.41 Zn.upf
W 183.84 W.upf
CELL_PARAMETERS angstrom
4.9101 0.0000 0.0000
0.0000 4.9101 0.0000
0.0000 0.0000 2.9028
ATOMIC_POSITIONS angstrom
Mg 0.0000 2.4551 0.0000
Mg 2.4551 0.0000 0.0000
Zn 0.0000 0.0000 1.4514
W 2.4551 2.4551 1.4514
! Volume   17.496 A^3/atom
! Formation enthalpy at 0 K   490 meV/atom
! DOS(E_F)   2.1 states/eV per cell
! SG   P4/mmm

[3]
! MgBe4Cd (GGA-PBE, optimized geometry); values from VASP
&SYSTEM
  ibrav = 0, nat = 6, ntyp = 3
/
ATOMIC_SPECIES
Mg 24.30 Mg.upf
Be 9.01 Be.upf
Cd 112.41 Cd.upf
CELL_PARAMETERS angstrom
0.0000 3.2901 3.2901
3.2901 0.0000 3.2901
3.2901 3.2901 0.0000
ATOMIC_POSITIONS angstrom
Mg 0.0000 0.0000 0.0000
Be 4.1221 2.4581 2.4581
Be 2.4581 4.1221 2.4581
Be 2.4581 2.4581 4.1221
Be 4.1221 4.1221 4.1221
Cd 1.6450 1.6450 1.6450
! Volume   11.871 A^3/atom
! Formation enthalpy at 0 K   151 meV/atom
! DOS(E_F)   0.9 states/eV per cell
! SG   F-43m

[4]
! Nb6PdRu (GGA-PBE, optimized geometry); values from VASP
&SYSTEM
  ibrav = 0, nat = 8, ntyp = 3
/
ATOMIC_SPECIES
Nb 92.91 Nb.upf
Pd 106.42 Pd.upf
Ru 101.07 Ru.upf
CELL_PARAMETERS angstrom
-2.3199 2.3199 6.4580
2.3199 -2.3199 6.4580
2.3199 2.3199 -6.4580
ATOMIC_POSITIONS angstrom
Nb 2.3199 0.0000 1.6107
Nb 0.0000 0.0000 3.2223
Nb 2.3199 0.0000 4.8473
Nb 0.0000 2.3199 1.6107
Nb 0.0000 0.0000 9.6936
Nb 0.0000 2.3199 4.8473
Pd 0.0000 0.0000 6.4580
Ru 0.0000 0.0000 0.0000
! Volume   17.379 A^3/atom
! Formation enthalpy at 0 K   -145 meV/atom
! DOS(E_F)   6.9 states/eV per cell
! SG   I4/mmm

[5]
! Be3Ni4 (GGA-PBE, optimized geometry); values from VASP
&SYSTEM
  ibrav = 0, nat = 7, ntyp = 2
/
ATOMIC_SPECIES
Be 9.01 Be.upf
Ni 58.69 Ni.upf
CELL_PARAMETERS angstrom
1.8238 1.0530 5.8538
-1.8238 1.0530 5.8538
0.0000 -2.1059 5.8538
ATOMIC_POSITIONS angstrom
Be 0.0000 0.0000 0.0000
Be 0.0000 0.0000 4.4363
Be 0.0000 0.0000 13.1250
Ni 0.0000 0.0000 2.2522
Ni 0.0000 0.0000 6.6430
Ni 0.0000 0.0000 10.9183
Ni 0.0000 0.0000 15.3091
! Volume   9.635 A^3/atom
! Formation enthalpy at 0 K   -287 meV/atom
! Energy above the most stable polymorph in this dataset   0.000 eV per atom
! DOS(E_F)   3.2 states/eV per cell
! SG   R-3m

[6]
! TlCr6S8 (GGA-PBE, optimized geometry); values from VASP
&SYSTEM
  ibrav = 0, nat = 15, ntyp = 3
/
ATOMIC_SPECIES
Tl 204.38 Tl.upf
Cr 52.00 Cr.upf
S 32.06 S.upf
CELL_PARAMETERS angstrom
4.4355 2.5608 3.6837
-4.4355 2.5608 3.6837
0.0000 -5.1217 3.6837
ATOMIC_POSITIONS angstrom
Tl 0.0000 0.0000 0.0000
Cr -1.4788 -0.0757 4.4504
Cr 0.8049 -1.2428 4.4504
Cr -0.6739 -1.3185 6.6007
Cr 0.6739 1.3185 4.4504
Cr -0.8049 1.2428 6.6007
Cr 1.4788 0.0757 6.6007
S -1.2020 -2.3842 4.6001
S 0.0000 0.0000 2.7920
S -2.6658 -0.1511 6.4510
S -1.4638 2.2331 4.6001
S 1.4638 -2.2331 6.4510
S 2.6658 0.1511 4.6001
S 0.0000 0.0000 8.2591
S 1.2020 2.3842 6.4510
! E_form (uncorrected)   -596 meV per atom
! Volume   16.737 A^3/atom
! DOS(E_F)   17.5 states/eV per cell
! SG   R-3

Question: volume of number 4 (Nb6PdRu)?
Answer: 17.379 A^3/atom